# CeEuSnPb (PBE-GGA, relaxed)
# V (A^3/atom): 30.41
# Crystal system: cubic
# Calculated formation energy (eV per formula unit): -1.92
# Total magnetic moment (μB/cell): 32.44
data_CeEuSnPb
_chemical_formula_sum 'Ce4 Eu4 Sn4 Pb4'
_cell_length_a 7.8652
_cell_length_b 7.8652
_cell_length_c 7.8652
_cell_angle_alpha 90.00
_cell_angle_beta 90.00
_cell_angle_gamma 90.00
_space_group_name_H-M_alt 'F -4 3 m'
_space_group_IT_number 216
_space_group_name_Hall 'F -4 2 3'
loop_
_atom_site_label
_atom_site_type_symbol
_atom_site_fract_x
_atom_site_fract_y
_atom_site_fract_z
Ce1 Ce 0.0000 0.0000 0.0000
Eu1 Eu 0.0000 0.0000 0.5000
Sn1 Sn 0.2500 0.2500 0.2500
Pb1 Pb 0.2500 0.2500 0.7500